Entry from the Alexandria database: a relaxed structure of RbNpCuF6 (PBE).

Properties
ΔE_f (raw) in eV per atom: -2.736
Final energy in eV per cell: -107.716
V in Å³/cell: 402.01

Cell lengths 8.6599, 7.4191, 8.4652 Å; angles 115.99, 120.76, 90.00 degrees
Atoms (fractional coordinates):
1 F 0.4665 0.7165 0.9330
2 F 0.5427 0.8850 0.7102
3 F 0.1873 0.9373 0.3745
4 F 0.8325 0.6747 0.2898
5 F 0.8127 0.0627 0.6255
6 F 0.4573 0.6747 0.2898
7 F 0.4573 0.1150 0.2898
8 F 0.1675 0.8850 0.7102
9 F 0.5335 0.2835 0.0670
10 F 0.8325 0.1150 0.2898
11 F 0.1675 0.3253 0.7102
12 F 0.5427 0.3253 0.7102
13 Rb 0.2478 0.4978 0.4957
14 Rb 0.7522 0.5022 0.5043
15 Np 0.5000 0.0000 0.5000
16 Np 0.0000 0.0000 0.5000
17 Cu 0.5000 0.5000 0.0000
18 Cu 0.5000 0.0000 0.0000